# 1
Here is an optimized crystal structure of ZrNiSe2 from Alexandria via LeMat-Bulk. Energies are from PBE-GGA.

The structure belongs to space group R-3m (No. 166, hexagonal axes); the cell edges are 3.7523, 3.7523 and 18.5646 Å and the angles 90.00°, 90.00° and 120.00°. The distinct sites, in fractional coordinates, are Zr at (0.0000, 0.0000, 0.0000), Ni at (0.0000, 0.0000, 0.5000) and Se at (0.0000, 0.0000, 0.2413).

For the formation energy (no corrections), the calculation gives -0.59 eV per atom.

# 2
Here is an optimized crystal structure of Zr2Ni2Se from Alexandria via LeMat-Bulk. Energies are from PBE-GGA.

The structure belongs to space group I4/mmm (No. 139); the cell edges are 3.4126, 3.4126 and 14.9333 Å and the angles 90.00°, 90.00° and 90.00°. The distinct sites, in fractional coordinates, are Zr at (0.0000, 0.0000, 0.1161), Ni at (0.0000, 0.5000, 0.2500) and Se at (0.0000, 0.0000, 0.5000).

For the formation energy (no corrections), the calculation gives -0.54 eV per atom. Its relative energy among the computed polymorphs is 0 meV/atom.

# 3
Here is an optimized crystal structure of ZrNiSe2 from Alexandria via LeMat-Bulk. Energies are from PBE-GGA.

The structure belongs to space group I-42d (No. 122); the cell edges are 5.6961, 5.6961 and 11.4863 Å and the angles 90.00°, 90.00° and 90.00°. The distinct sites, in fractional coordinates, are Zr at (0.0000, 0.0000, 0.0000), Ni at (0.0000, 0.0000, 0.5000) and Se at (0.2127, 0.2500, 0.6250).

For the formation energy (no corrections), the calculation gives -0.62 eV per atom.

# 4
Here is an optimized crystal structure of ZrNiSe2 from Alexandria via LeMat-Bulk. Energies are from PBE-GGA.

The structure belongs to space group P2_1/c (No. 14); the cell edges are 8.0993, 6.5811 and 8.0071 Å and the angles 90.00°, 118.37° and 90.00°. The distinct sites, in fractional coordinates, are Zr at (0.0330, 0.0278, 0.3155), Ni at (0.1110, 0.6512, 0.5612), Se at (0.2041, 0.2491, 0.1457) and Se at (0.2916, 0.7330, 0.3899).

For the formation energy (no corrections), the calculation gives -0.93 eV per atom.

# 5
Here is an optimized crystal structure of ZrNiSe2 from Alexandria via LeMat-Bulk. Energies are from PBE-GGA.

The structure belongs to space group Amm2 (No. 38); the cell edges are 3.5491, 3.6084 and 11.6195 Å and the angles 90.00°, 90.00° and 90.00°. The distinct sites, in fractional coordinates, are Zr at (0.0000, 0.0000, 0.0000), Ni at (0.5000, 0.0000, 0.1837), Se at (0.0000, 0.0000, 0.6756) and Se at (0.5000, 0.0000, 0.3995).

For the formation energy (no corrections), the calculation gives -0.92 eV per atom.

# 6
Here is an optimized crystal structure of ZrNiSe from Alexandria via LeMat-Bulk. Energies are from PBE-GGA.

The structure belongs to space group I4mm (No. 107); the cell edges are 3.3804, 3.3804 and 8.9497 Å and the angles 90.00°, 90.00° and 90.00°. The distinct sites, in fractional coordinates, are Zr at (0.0000, 0.0000, 0.0000), Ni at (0.0000, 0.0000, 0.3447) and Se at (0.0000, 0.0000, 0.6822).

For the formation energy (no corrections), the calculation gives -0.52 eV per atom. Its relative energy among the computed polymorphs is 252 meV/atom.

# 7
Here is an optimized crystal structure of ZrNiSe from Alexandria via LeMat-Bulk. Energies are from PBE-GGA.

The structure belongs to space group P-6m2 (No. 187); the cell edges are 3.9261, 3.9261 and 3.6660 Å and the angles 90.00°, 90.00° and 120.00°. The distinct sites, in fractional coordinates, are Zr at (0.0000, 0.0000, 0.0000), Ni at (0.6667, 0.3333, 0.5000) and Se at (0.3333, 0.6667, 0.5000).

For the formation energy (no corrections), the calculation gives -0.73 eV per atom. Its relative energy among the computed polymorphs is 36 meV/atom.

# 8
Here is an optimized crystal structure of ZrNiSe2 from Alexandria via LeMat-Bulk. Energies are from PBE-GGA.

The structure belongs to space group F-43m (No. 216); the cell edges are 6.5908, 6.5908 and 6.5908 Å and the angles 90.00°, 90.00° and 90.00°. The distinct sites, in fractional coordinates, are Zr at (0.0000, 0.0000, 0.0000), Ni at (0.2500, 0.2500, 0.7500), Se at (0.0000, 0.0000, 0.5000) and Se at (0.2500, 0.2500, 0.2500).

For the formation energy (no corrections), the calculation gives -0.13 eV per atom.

# 9
Here is an optimized crystal structure of ZrNiSe4 from Alexandria via LeMat-Bulk. Energies are from PBE-GGA.

The structure belongs to space group P2_1/c (No. 14); the cell edges are 6.4585, 5.8860 and 7.0945 Å and the angles 90.00°, 99.05° and 90.00°. The distinct sites, in fractional coordinates, are Zr at (0.0000, 0.0000, 0.0000), Ni at (0.5000, 0.0000, 0.5000), Se at (0.1645, 0.1221, 0.3548) and Se at (0.3830, 0.6382, 0.4055).

For the formation energy (no corrections), the calculation gives -0.55 eV per atom.

# 10
Here is an optimized crystal structure of ZrNiSe2 from Alexandria via LeMat-Bulk. Energies are from PBE-GGA.

The structure belongs to space group Cm (No. 8); the cell edges are 6.6593, 3.8420 and 8.0514 Å and the angles 90.00°, 105.92° and 90.00°. The distinct sites, in fractional coordinates, are Zr at (0.0000, 0.0000, 0.0000), Ni at (0.0835, 0.5000, 0.7511), Se at (0.3865, 0.5000, 0.6603) and Se at (0.3951, 0.0000, 0.1866).

For the formation energy (no corrections), the calculation gives -0.74 eV per atom.

# 11
Here is an optimized crystal structure of SiNi3 from Alexandria via LeMat-Bulk. Energies are from PBE-GGA.

The structure belongs to space group Immm (No. 71); the cell edges are 2.8562, 3.9313 and 7.8053 Å and the angles 90.00°, 90.00° and 90.00°. The distinct sites, in fractional coordinates, are Si at (0.0000, 0.0000, 0.0000), Ni at (0.0000, 0.0000, 0.5000) and Ni at (0.0000, 0.5000, 0.2707).

For the formation energy (no corrections), the calculation gives -0.35 eV per atom.

# 12
Here is an optimized crystal structure of SiNi2 from Alexandria via LeMat-Bulk. Energies are from PBE-GGA.

The structure belongs to space group P-1 (No. 2); the cell edges are 3.9701, 4.5249 and 4.5805 Å and the angles 101.67°, 115.67° and 105.63°. The distinct sites, in fractional coordinates, are Si at (0.1016, 0.2272, 0.3755), Ni at (0.2106, 0.7371, 0.2773) and Ni at (0.4871, 0.2755, 0.1124).

For the formation energy (no corrections), the calculation gives -0.45 eV per atom.